Entry 1:
This record from the Alexandria database describes a geometry-optimized Ba2Ga3Au5 structure. The functional is PBE.

Structure (POSCAR):
```
Ba2Ga3Au5
1.0
0.367 1.368 6.649
0.279 -7.769 5.059
8.407 -1.929 3.408
Ba Ga Au
4 6 10
Direct
0.130 0.618 0.121
0.630 0.121 0.618
0.370 0.879 0.382
0.870 0.382 0.879
0.625 0.486 0.264
0.750 0.000 0.000
0.125 0.264 0.486
0.375 0.514 0.736
0.875 0.736 0.514
0.250 0.000 0.000
0.890 0.978 0.242
0.390 0.242 0.978
0.250 0.500 0.500
0.999 0.251 0.251
0.501 0.749 0.749
0.499 0.251 0.251
0.110 0.022 0.758
0.610 0.758 0.022
0.001 0.749 0.749
0.750 0.500 0.500
```

Summary:
Mass density = 10130 kg/m3
Excess energy over the best structure of this formula in the dataset = 0 meV/atom
Energy of formation from the pure elements = -0.57 eV per atom

---

Entry 2:
This record from the Alexandria database describes a geometry-optimized Ba2Ga3Au17 structure. The functional is PBE.

Structure (POSCAR):
```
Ba2Ga3Au17
1.0
7.802 -0.111 0.713
0.641 7.776 0.713
-0.123 -0.111 7.834
Ga Au Ba
3 17 2
Direct
0.000 0.500 0.500
0.500 0.500 0.000
0.500 0.000 0.500
0.666 0.666 0.185
0.500 0.000 0.000
0.099 0.099 0.099
0.334 0.334 0.815
0.264 0.000 0.736
0.334 0.815 0.334
0.264 0.736 0.000
0.000 0.736 0.264
0.000 0.000 0.500
0.736 0.000 0.264
0.666 0.185 0.666
0.736 0.264 0.000
0.815 0.334 0.334
0.185 0.666 0.666
0.901 0.901 0.901
0.000 0.500 0.000
0.000 0.264 0.736
0.668 0.668 0.668
0.332 0.332 0.332
```

Summary:
Mass density = 13338 kg/m3
Energy of formation from the pure elements = -0.09 eV per atom

---

Entry 3:
This record from the Alexandria database describes a geometry-optimized Ba2Ga2Au structure. The functional is PBE.

Structure (POSCAR):
```
Ba2Ga2Au
1.0
4.288 0.000 0.000
0.000 4.437 -1.440
0.000 0.197 8.165
Ba Ga Au
2 2 1
Direct
0.000 0.927 0.855
0.000 0.690 0.380
0.500 0.316 0.632
0.500 0.513 0.026
0.500 0.096 0.192
```

Summary:
Mass density = 6481 kg/m3
Excess energy over the best structure of this formula in the dataset = 51 meV/atom
Energy of formation from the pure elements = -0.44 eV per atom

---

Entry 4:
This record from the Alexandria database describes a geometry-optimized BaGa3Au structure. The functional is PBE.

Structure (POSCAR):
```
BaGa3Au
1.0
-3.316 4.264 2.613
-4.020 -0.408 -4.436
-2.975 -4.202 3.082
Ga Ba Au
3 1 1
Direct
0.000 0.000 0.500
0.500 0.000 0.000
0.000 0.500 0.000
0.000 0.000 0.000
0.500 0.500 0.500
```

Summary:
Mass density = 4177 kg/m3
Energy of formation from the pure elements = 1.12 eV per atom

---

Entry 5:
This record from the Alexandria database describes a geometry-optimized Ba2GaAu3 structure. The functional is PBE.

Structure (POSCAR):
```
Ba2GaAu3
1.0
4.399 0.000 0.000
0.000 4.767 0.000
0.000 0.000 8.326
Au Ba Ga
3 2 1
Direct
0.500 0.000 0.843
0.500 0.000 0.188
0.500 0.500 0.642
0.000 0.000 0.512
0.000 0.500 0.992
0.500 0.500 0.323
```

Summary:
Mass density = 8895 kg/m3
Excess energy over the best structure of this formula in the dataset = 0 meV/atom
Energy of formation from the pure elements = -0.68 eV per atom

---

Entry 6:
This record from the Alexandria database describes a geometry-optimized Ba2GaAu2 structure. The functional is PBE.

Structure (POSCAR):
```
Ba2GaAu2
1.0
-0.306 1.720 -4.290
-6.279 1.320 -1.523
0.369 11.173 1.951
Au Ba Ga
4 4 2
Direct
0.626 0.876 0.872
0.043 0.322 0.593
0.957 0.678 0.407
0.374 0.124 0.128
0.908 0.286 0.898
0.303 0.751 0.643
0.697 0.249 0.357
0.092 0.714 0.102
0.427 0.822 0.324
0.573 0.178 0.676
```

Summary:
Mass density = 7730 kg/m3
Excess energy over the best structure of this formula in the dataset = 0 meV/atom
Energy of formation from the pure elements = -0.63 eV per atom

---

Entry 7:
This record from the Alexandria database describes a geometry-optimized Ba2Ga2Au structure. The functional is PBE.

Structure (POSCAR):
```
Ba2Ga2Au
1.0
3.965 0.000 0.000
0.000 3.965 0.000
1.982 1.982 10.024
Ga Ba Au
2 2 1
Direct
0.750 0.250 0.500
0.250 0.750 0.500
0.600 0.600 0.801
0.400 0.400 0.199
0.000 0.000 0.000
```

Summary:
Mass density = 6439 kg/m3
Excess energy over the best structure of this formula in the dataset = 144 meV/atom
Energy of formation from the pure elements = -0.35 eV per atom

---

Entry 8:
This record from the Alexandria database describes a geometry-optimized BaGa6Au2 structure. The functional is PBE.

Structure (POSCAR):
```
BaGa6Au2
1.0
-3.606 -3.074 -1.023
2.165 -3.425 2.662
-4.115 2.600 6.692
Au Ga Ba
2 6 1
Direct
0.500 0.500 0.832
0.500 0.500 0.168
0.000 0.000 0.500
0.500 0.500 0.500
0.500 0.000 0.320
0.000 0.500 0.680
0.500 0.000 0.680
0.000 0.500 0.320
0.000 0.000 0.000
```

Summary:
Mass density = 8108 kg/m3
Energy of formation from the pure elements = -0.32 eV per atom